# PBE LaAsRu2Se, relaxed
# ΔE_f (raw) ... 18.8 kJ per mole of atoms
# DOS at the Fermi energy ... 0.73 states/eV/atom
# Magnetic moment ... 0.00 μB per cell
# Energy ... -6.128 eV/atom
data_LaAsRu2Se
_chemical_formula_sum 'La1 As1 Ru2 Se1'
_cell_length_a 4.556
_cell_length_b 4.556
_cell_length_c 5.324
_cell_angle_alpha 90.00
_cell_angle_beta 90.00
_cell_angle_gamma 90.00
_symmetry_space_group_name_H-M 'P 4/m m m'
_symmetry_Int_Tables_number 123
_symmetry_space_group_name_Hall '-P 4 2'
loop_
_atom_site_label
_atom_site_fract_x
_atom_site_fract_y
_atom_site_fract_z
La1 0.000 0.000 0.000
As1 0.500 0.500 0.000
Ru1 0.000 0.500 0.500
Se1 0.500 0.500 0.500